This record from the Alexandria database describes a geometry-optimized HfSi3Os3 structure. The functional is PBE-GGA.

Lattice parameters (Å, degrees): 6.463 6.463 6.463 90.00 90.00 90.00
Element x y z (fractional)
Hf1 0.500 0.500 0.500
Hf2 0.000 0.000 0.000
Si1 0.000 0.250 0.500
Si2 0.000 0.750 0.500
Si3 0.500 0.000 0.750
Si4 0.750 0.500 0.000
Si5 0.500 0.000 0.250
Si6 0.250 0.500 0.000
Os1 0.250 0.000 0.500
Os2 0.000 0.500 0.250
Os3 0.500 0.750 0.000
Os4 0.750 0.000 0.500
Os5 0.000 0.500 0.750
Os6 0.500 0.250 0.000

Formation energy without anion corrections: 0.569 eV per atom
Size of the total moment: 0.000 μB per formula unit
Density of states at the Fermi level: 0.83 states/eV/atom
Volume: 19.3 A^3/atom
E_tot: -7.989 eV/atom